(1)
Below is crystalline PmErSi at its relaxed geometry, with properties calculated at the PBE-GGA level.

Values from the calculation:
The calculation puts the polymorph energy (0 for the lowest one) at 0.0 meV/atom.

a b c (Å): 4.2341 6.1174 6.9120
angles (deg): 77.21 107.83 110.23
Last column: nearest neighbours and their distance in Å.
Fractional coordinates of all 6 atoms:
Pm1 0.0155 0.5872 0.4053  4 Si 3.08-3.11
Pm2 0.8447 0.9637 0.6877  4 Si 3.08-3.11
Er1 0.6078 0.0535 0.1237  3 Si 2.90-3.05
Er2 0.2524 0.4974 0.9693  3 Si 2.90-3.05
Si1 0.5516 0.3574 0.7085  1 Si 2.44
Si2 0.3085 0.1935 0.3845  1 Si 2.44

---

(2)
Below is crystalline PmEr2Si at its relaxed geometry, with properties calculated at the PBE-GGA level.

Values from the calculation:
The calculation puts the polymorph energy (0 for the lowest one) at 237.0 meV/atom.

a b c (Å): 4.7686 4.7686 6.2039
angles (deg): 67.40 67.40 60.00
Last column: nearest neighbours and their distance in Å.
Fractional coordinates of all 4 atoms:
Si1 0.5000 0.5000 0.5000  6 Er 2.91
Pm1 0.0000 0.0000 0.0000  6 Er 3.30
Er1 0.7761 0.7761 0.6717  3 Si 2.91
Er2 0.2239 0.2239 0.3283  3 Si 2.91

---

(3)
Below is crystalline Pm2ErSi at its relaxed geometry, with properties calculated at the PBE-GGA level.

Values from the calculation:
The calculation puts the polymorph energy (0 for the lowest one) at 0.0 meV/atom.

a b c (Å): 4.7402 4.6801 4.6801
angles (deg): 90.00 90.00 90.00
Last column: nearest neighbours and their distance in Å.
Fractional coordinates of all 4 atoms:
Si1 0.5000 0.0000 0.0000  4 Er 3.31, 8 Pm 3.33
Pm1 0.0000 0.0000 0.5000  4 Pm 3.31, 4 Er 3.33, 4 Si 3.33
Pm2 0.0000 0.5000 0.0000  4 Pm 3.31, 4 Er 3.33, 4 Si 3.33
Er1 0.5000 0.5000 0.5000  4 Si 3.31, 8 Pm 3.33

---

(4)
Below is crystalline PmErSi2 at its relaxed geometry, with properties calculated at the PBE-GGA level.

Values from the calculation:
For the total energy, the calculation gives -21.97 eV for the cell shown.

a b c (Å): 3.3097 3.3097 8.0476
angles (deg): 90.00 90.00 90.00
Last column: nearest neighbours and their distance in Å.
Fractional coordinates of all 4 atoms:
Si1 0.0000 0.0000 0.7412  4 Er 3.04, 4 Pm 3.13, 4 Si 3.31
Si2 0.0000 0.0000 0.2588  4 Er 3.04, 4 Pm 3.13, 4 Si 3.31
Pm1 0.5000 0.5000 0.0000  8 Si 3.13, 4 Pm 3.31
Er1 0.5000 0.5000 0.5000  8 Si 3.04, 4 Er 3.31

---

(5)
Below is crystalline PmErSi at its relaxed geometry, with properties calculated at the PBE-GGA level.

Values from the calculation:
The calculation puts the polymorph energy (0 for the lowest one) at 66.8 meV/atom.

a b c (Å): 4.8926 4.8926 4.8926
angles (deg): 60.00 60.00 60.00
Last column: nearest neighbours and their distance in Å.
Fractional coordinates of all 3 atoms:
Si1 0.2500 0.2500 0.2500  4 Er 3.00, 4 Pm 3.00
Pm1 0.5000 0.5000 0.5000  4 Si 3.00
Er1 0.0000 0.0000 0.0000  4 Si 3.00

---

(6)
Below is crystalline Pm2Er2Si3 at its relaxed geometry, with properties calculated at the PBE-GGA level.

Values from the calculation:
For the total energy, the calculation gives -38.40 eV for the cell shown.

a b c (Å): 4.6017 5.7126 8.0396
angles (deg): 98.94 90.01 113.74
Last column: nearest neighbours and their distance in Å.
Fractional coordinates of all 7 atoms:
Pm1 0.8726 0.7456 0.6495  4 Si 2.90-3.07
Pm2 0.1274 0.2544 0.3505  4 Si 2.90-3.07
Er1 0.6414 0.2828 0.9267  5 Si 2.85-2.99
Er2 0.3586 0.7172 0.0733  5 Si 2.85-2.99
Si1 0.0000 0.0000 0.0000  4 Er 2.85, 2 Pm 2.90
Si2 0.8021 0.6040 0.2715  3 Er 2.92-2.99, 3 Pm 3.00-3.07, 1 Si 3.25
Si3 0.1979 0.3960 0.7285  3 Er 2.92-2.99, 3 Pm 3.00-3.07, 1 Si 3.25

---

(7)
Below is crystalline PmEr3Si4 at its relaxed geometry, with properties calculated at the PBE-GGA level.

Values from the calculation:
For the total energy, the calculation gives -44.20 eV for the cell shown.

a b c (Å): 3.8649 6.3244 8.6724
angles (deg): 111.39 102.88 90.00
Last column: nearest neighbours and their distance in Å.
Fractional coordinates of all 8 atoms:
Pm1 0.5000 0.0000 0.0000  4 Si 2.89
Er1 0.0000 0.5000 0.0000  8 Si 3.07
Er2 0.1960 0.1960 0.3919  6 Si 2.92-2.95
Er3 0.8040 0.8040 0.6081  6 Si 2.92-2.95
Si1 0.3668 0.5507 0.7336  1 Si 2.33
Si2 0.6332 0.4493 0.2664  1 Si 2.33
Si3 0.6332 0.8170 0.2663  1 Si 2.33
Si4 0.3668 0.1830 0.7337  1 Si 2.33

---

(8)
Below is crystalline Pm4Er3Si4 at its relaxed geometry, with properties calculated at the PBE-GGA level.

Values from the calculation:
For the total energy, the calculation gives -59.79 eV for the cell shown.

a b c (Å): 3.5412 8.8508 9.9923
angles (deg): 116.29 100.21 90.00
Last column: nearest neighbours and their distance in Å.
Fractional coordinates of all 11 atoms:
Pm1 0.3318 0.1565 0.6636  4 Si 3.02-3.09, 1 Pm 3.10
Pm2 0.6682 0.4929 0.3364  4 Si 3.02-3.09, 1 Pm 3.10
Pm3 0.6682 0.8435 0.3364  4 Si 3.02-3.09, 1 Pm 3.10
Pm4 0.3318 0.5071 0.6636  4 Si 3.02-3.09, 1 Pm 3.10
Er1 0.0913 0.0913 0.1825  6 Si 2.88-3.10, 1 Er 3.21
Er2 0.9087 0.9087 0.8175  6 Si 2.88-3.10, 1 Er 3.21
Er3 0.0000 0.5000 0.0000  4 Si 3.02
Si1 0.2792 0.7792 0.5584  2 Er 2.88, 6 Pm 3.02-3.06
Si2 0.7208 0.2208 0.4416  2 Er 2.88, 6 Pm 3.02-3.06
Si3 0.5000 0.7761 0.0000  6 Er 3.02-3.10, 2 Pm 3.09
Si4 0.5000 0.2239 0.0000  6 Er 3.02-3.10, 2 Pm 3.09

---

(9)
Below is crystalline PmEr2Si4 at its relaxed geometry, with properties calculated at the PBE-GGA level.

Values from the calculation:
For the total energy, the calculation gives -40.88 eV for the cell shown.

a b c (Å): 3.8783 4.2473 9.1989
angles (deg): 103.35 102.17 90.00
Last column: nearest neighbours and their distance in Å.
Fractional coordinates of all 7 atoms:
Pm1 0.5000 0.0000 0.0000  12 Si 3.11-3.38
Er1 0.8166 0.8166 0.6332  7 Si 2.90-2.94
Er2 0.1834 0.1834 0.3668  7 Si 2.90-2.94
Si1 0.6508 0.6508 0.3017  2 Si 2.43
Si2 0.3492 0.3492 0.6983  2 Si 2.43
Si3 0.0674 0.5674 0.1348  3 Si 2.36-2.43
Si4 0.9326 0.4326 0.8652  3 Si 2.36-2.43

---

(10)
Below is crystalline Pm12ErSi7 at its relaxed geometry, with properties calculated at the PBE-GGA level.

Values from the calculation:
For the total energy, the calculation gives -106.08 eV for the cell shown.

a b c (Å): 9.3599 9.3599 9.3599
angles (deg): 111.18 111.18 111.18
Last column: nearest neighbours and their distance in Å.
Fractional coordinates of all 20 atoms:
Pm1 0.9642 0.2973 0.7765  3 Si 2.86-2.97
Pm2 0.7027 0.2235 0.0358  3 Si 2.86-2.97
Pm3 0.4926 0.1702 0.4342  3 Si 2.89-2.92
Pm4 0.8298 0.5658 0.5074  3 Si 2.89-2.92
Pm5 0.2235 0.0358 0.7027  3 Si 2.86-2.97
Pm6 0.5658 0.5074 0.8298  3 Si 2.89-2.92
Pm7 0.4342 0.4926 0.1702  3 Si 2.89-2.92
Pm8 0.7765 0.9642 0.2973  3 Si 2.86-2.97
Pm9 0.1702 0.4342 0.4926  3 Si 2.89-2.92
Pm10 0.5074 0.8298 0.5658  3 Si 2.89-2.92
Pm11 0.2973 0.7765 0.9642  3 Si 2.86-2.97
Pm12 0.0358 0.7027 0.2235  3 Si 2.86-2.97
Er1 0.0000 0.0000 0.0000  6 Si 3.09
Si1 0.9109 0.6048 0.8536  5 Pm 2.86-2.97, 1 Er 3.09
Si2 0.3952 0.1464 0.0891  5 Pm 2.86-2.97, 1 Er 3.09
Si3 0.1464 0.0891 0.3952  5 Pm 2.86-2.97, 1 Er 3.09
Si4 0.5000 0.5000 0.5000  6 Pm 2.89
Si5 0.8536 0.9109 0.6048  5 Pm 2.86-2.97, 1 Er 3.09
Si6 0.6048 0.8536 0.9109  5 Pm 2.86-2.97, 1 Er 3.09
Si7 0.0891 0.3952 0.1464  5 Pm 2.86-2.97, 1 Er 3.09

---

(11)
Below is crystalline Pm8ErSi6 at its relaxed geometry, with properties calculated at the PBE-GGA level.

Values from the calculation:
For the total energy, the calculation gives -82.85 eV for the cell shown.

a b c (Å): 8.7331 8.7331 7.9913
angles (deg): 56.88 56.88 60.00
Last column: nearest neighbours and their distance in Å.
Fractional coordinates of all 15 atoms:
Pm1 0.5603 0.2311 0.3119  5 Si 2.97-3.18
Pm2 0.7689 0.1032 0.6881  5 Si 2.97-3.18
Pm3 0.1032 0.4397 0.6881  5 Si 2.97-3.18
Pm4 0.6661 0.6661 0.0016  6 Si 3.18-3.19, 6 Pm 3.49
Pm5 0.3339 0.3339 0.9984  6 Si 3.18-3.19, 6 Pm 3.49
Pm6 0.8968 0.5603 0.3119  5 Si 2.97-3.18
Pm7 0.2311 0.8968 0.3119  5 Si 2.97-3.18
Pm8 0.4397 0.7689 0.6881  5 Si 2.97-3.18
Er1 0.0000 0.0000 0.0000  6 Si 3.12
Si1 0.3949 0.0672 0.7990  7 Pm 2.97-3.19, 1 Er 3.12
Si2 0.9328 0.2611 0.2010  7 Pm 2.97-3.19, 1 Er 3.12
Si3 0.2611 0.6051 0.2010  7 Pm 2.97-3.19, 1 Er 3.12
Si4 0.7389 0.3949 0.7990  7 Pm 2.97-3.19, 1 Er 3.12
Si5 0.0672 0.7389 0.7990  7 Pm 2.97-3.19, 1 Er 3.12
Si6 0.6051 0.9328 0.2010  7 Pm 2.97-3.19, 1 Er 3.12

---

(12)
Below is crystalline Pm12Er3Si5 at its relaxed geometry, with properties calculated at the PBE-GGA level.

Values from the calculation:
For the total energy, the calculation gives -370.14 eV for the cell shown.

a b c (Å): 15.5483 15.5483 15.5483
angles (deg): 109.47 109.47 109.47
Last column: nearest neighbours and their distance in Å.
Fractional coordinates of all 80 atoms:
Er1 0.7500 0.3750 0.1250  8 Pm 3.37-3.63
Er2 0.8750 0.7500 0.1250  8 Pm 3.37-3.63
Er3 0.3750 0.7500 0.6250  8 Pm 3.37-3.63
Er4 0.2500 0.1250 0.3750  8 Pm 3.37-3.63
Er5 0.8750 0.1250 0.2500  8 Pm 3.37-3.63
Er6 0.3750 0.6250 0.2500  8 Pm 3.37-3.63
Er7 0.6250 0.3750 0.7500  8 Pm 3.37-3.63
Er8 0.1250 0.8750 0.7500  8 Pm 3.37-3.63
Er9 0.7500 0.8750 0.6250  8 Pm 3.37-3.63
Er10 0.6250 0.2500 0.3750  8 Pm 3.37-3.63
Er11 0.1250 0.2500 0.8750  8 Pm 3.37-3.63
Er12 0.2500 0.6250 0.8750  8 Pm 3.37-3.63
Si1 0.1250 0.3750 0.2500  4 Pm 2.79
Si2 0.0000 0.5000 0.0000  6 Pm 2.90
Si3 0.0000 0.0000 0.0000  6 Pm 2.90
Si4 0.3750 0.2500 0.1250  4 Pm 2.79
Si5 0.5000 0.0000 0.5000  6 Pm 2.90
Si6 0.5000 0.5000 0.0000  6 Pm 2.90
Si7 0.1250 0.7500 0.3750  4 Pm 2.79
Si8 0.7500 0.1250 0.8750  4 Pm 2.79
Si9 0.7500 0.6250 0.3750  4 Pm 2.79
Si10 0.3750 0.1250 0.7500  4 Pm 2.79
Si11 0.6250 0.8750 0.2500  4 Pm 2.79
Si12 0.5000 0.5000 0.5000  6 Pm 2.90
Si13 0.5000 0.0000 0.0000  6 Pm 2.90
Si14 0.0000 0.0000 0.5000  6 Pm 2.90
Si15 0.2500 0.3750 0.6250  4 Pm 2.79
Si16 0.2500 0.8750 0.1250  4 Pm 2.79
Si17 0.0000 0.5000 0.5000  6 Pm 2.90
Si18 0.8750 0.2500 0.6250  4 Pm 2.79
Si19 0.6250 0.7500 0.8750  4 Pm 2.79
Si20 0.8750 0.6250 0.7500  4 Pm 2.79
Pm1 0.7095 0.1098 0.0329  2 Si 2.79-2.90
Pm2 0.3234 0.5329 0.4232  2 Si 2.79-2.90
Pm3 0.9671 0.3902 0.2905  2 Si 2.79-2.90
Pm4 0.5329 0.2095 0.1098  2 Si 2.79-2.90
Pm5 0.5997 0.7095 0.6766  2 Si 2.79-2.90
Pm6 0.9671 0.5768 0.1766  2 Si 2.79-2.90
Pm7 0.3234 0.7905 0.4003  2 Si 2.79-2.90
Pm8 0.0768 0.9003 0.1098  2 Si 2.79-2.90
Pm9 0.5768 0.9671 0.6766  2 Si 2.79-2.90
Pm10 0.7095 0.5997 0.1766  2 Si 2.79-2.90
Pm11 0.7905 0.4671 0.3902  2 Si 2.79-2.90
Pm12 0.8234 0.9232 0.0329  2 Si 2.79-2.90
Pm13 0.1098 0.7095 0.5329  2 Si 2.79-2.90
Pm14 0.3902 0.4232 0.0997  2 Si 2.79-2.90
Pm15 0.0997 0.9232 0.3902  2 Si 2.79-2.90
Pm16 0.4003 0.1098 0.5768  2 Si 2.79-2.90
Pm17 0.0997 0.1766 0.2095  2 Si 2.79-2.90
Pm18 0.4671 0.6766 0.0768  2 Si 2.79-2.90
Pm19 0.8234 0.9003 0.2905  2 Si 2.79-2.90
Pm20 0.1098 0.4003 0.0768  2 Si 2.79-2.90
Pm21 0.3902 0.9671 0.7905  2 Si 2.79-2.90
Pm22 0.5768 0.6098 0.4003  2 Si 2.79-2.90
Pm23 0.9232 0.8234 0.5329  2 Si 2.79-2.90
Pm24 0.7905 0.3234 0.9003  2 Si 2.79-2.90
Pm25 0.4232 0.3902 0.5997  2 Si 2.79-2.90
Pm26 0.0768 0.1766 0.4671  2 Si 2.79-2.90
Pm27 0.2095 0.6766 0.0997  2 Si 2.79-2.90
Pm28 0.1766 0.0997 0.7095  2 Si 2.79-2.90
Pm29 0.6098 0.0329 0.2095  2 Si 2.79-2.90
Pm30 0.8902 0.5997 0.9232  2 Si 2.79-2.90
Pm31 0.5329 0.3234 0.9232  2 Si 2.79-2.90
Pm32 0.5997 0.8902 0.4232  2 Si 2.79-2.90
Pm33 0.9003 0.8234 0.7905  2 Si 2.79-2.90
Pm34 0.9003 0.0768 0.6098  2 Si 2.79-2.90
Pm35 0.8902 0.2905 0.4671  2 Si 2.79-2.90
Pm36 0.1766 0.0768 0.9671  2 Si 2.79-2.90
Pm37 0.6098 0.5768 0.9003  2 Si 2.79-2.90
Pm38 0.4232 0.0329 0.3234  2 Si 2.79-2.90
Pm39 0.2905 0.4003 0.8234  2 Si 2.79-2.90
Pm40 0.2095 0.5329 0.6098  2 Si 2.79-2.90
Pm41 0.9232 0.0997 0.8902  2 Si 2.79-2.90
Pm42 0.6766 0.2095 0.5997  2 Si 2.79-2.90
Pm43 0.4671 0.7905 0.8902  2 Si 2.79-2.90
Pm44 0.0329 0.4232 0.8234  2 Si 2.79-2.90
Pm45 0.4003 0.2905 0.3234  2 Si 2.79-2.90
Pm46 0.0329 0.6098 0.7095  2 Si 2.79-2.90
Pm47 0.6766 0.4671 0.5768  2 Si 2.79-2.90
Pm48 0.2905 0.8902 0.9671  2 Si 2.79-2.90